## Li5Tl2Pb (PBE)

Data for Li5Tl2Pb after structural relaxation.

Cell: 4.8048 4.8048 7.6869 Å, 108.21 108.21 90.00°
Atoms (fractional coordinates):
Li1 0.5000 0.5000 0.0000
Tl1 0.7426 0.7426 0.4851
Li2 0.3789 0.8789 0.7577
Li3 0.8789 0.3789 0.7577
Li4 0.1211 0.6211 0.2423
Tl2 0.2574 0.2574 0.5149
Pb1 0.0000 0.0000 0.0000
Li5 0.6211 0.1211 0.2423

Properties
- symmetry = No. 139
- size of the total moment (Bohr magnetons per cell) = 0.0
- DFT total energy (eV per atom) = -2.5123
- density of states at the Fermi level (states/eV/f.u.) = 3.513
- volume (A^3/atom) = 19.90